Record 1
Entry from the Alexandria database: a relaxed Np2AsAu crystal (PBE).

ΔE_f: 0.023 eV per atom
space-group type: R-3m

POSCAR file:
```
Np2AsAu
1.0
2.961 0.000 0.000
-1.480 2.564 0.000
0.000 0.000 31.618
Np As Au
6 3 3
direct
0.000 0.000 0.248
0.000 0.000 0.752
0.333 0.667 0.419
0.333 0.667 0.915
0.667 0.333 0.085
0.667 0.333 0.581
0.000 0.000 0.500
0.333 0.667 0.167
0.667 0.333 0.833
0.000 0.000 0.000
0.333 0.667 0.667
0.667 0.333 0.333
```

Record 2
Entry from the Alexandria database: a relaxed BaScCl2 crystal (PBE).

ΔE_f (raw): -4.55 eV per formula unit
space-group type: Pmmm

POSCAR file:
```
BaScCl2
1.0
3.703 0.000 0.000
0.000 4.757 0.000
0.000 0.000 6.914
Ba Sc Cl
1 1 2
direct
0.000 0.000 0.000
0.500 0.000 0.500
0.000 0.500 0.500
0.500 0.500 0.000
```

Record 3
Entry from the Alexandria database: a relaxed RbBe2SbCl8 crystal (PBE).

ΔE_f (raw): -15.69 eV per formula unit
space-group type: R-3

POSCAR file:
```
RbBe2SbCl8
1.0
3.102 1.791 10.005
-3.102 1.791 10.005
0.000 -3.582 10.005
Rb Be Sb Cl
1 2 1 8
direct
0.000 0.000 0.000
0.244 0.244 0.244
0.756 0.756 0.756
0.500 0.500 0.500
0.091 0.462 0.785
0.215 0.909 0.538
0.309 0.309 0.309
0.462 0.785 0.091
0.538 0.215 0.909
0.691 0.691 0.691
0.785 0.091 0.462
0.909 0.538 0.215
```

Record 4
Entry from the Alexandria database: a relaxed Cr2RePb crystal (PBE).

ΔE_f: 1.036 eV per atom
space-group type: I-42d

POSCAR file:
```
Cr2RePb
1.0
7.199 0.000 0.000
0.000 7.199 0.000
0.000 0.000 5.641
Cr Re Pb
8 4 4
direct
0.195 0.250 0.125
0.250 0.695 0.375
0.250 0.805 0.875
0.305 0.250 0.625
0.695 0.750 0.625
0.750 0.195 0.875
0.750 0.305 0.375
0.805 0.750 0.125
0.000 0.000 0.000
0.000 0.500 0.250
0.500 0.000 0.750
0.500 0.500 0.500
0.000 0.000 0.500
0.000 0.500 0.750
0.500 0.000 0.250
0.500 0.500 0.000
```

Record 5
Entry from the Alexandria database: a relaxed HoGa12Ni4 crystal (PBE).

ΔE_f: -0.139 eV per atom
space-group type: Im-3

POSCAR file:
```
HoGa12Ni4
1.0
-4.266 4.266 4.266
4.266 -4.266 4.266
4.266 4.266 -4.266
Ho Ga Ni
1 12 4
direct
0.000 0.000 0.000
0.167 0.337 0.831
0.169 0.506 0.337
0.169 0.833 0.663
0.337 0.169 0.506
0.337 0.831 0.167
0.494 0.663 0.831
0.506 0.337 0.169
0.663 0.169 0.833
0.663 0.831 0.494
0.831 0.167 0.337
0.831 0.494 0.663
0.833 0.663 0.169
0.000 0.000 0.500
0.000 0.500 0.000
0.500 0.000 0.000
0.500 0.500 0.500
```

Record 6
Entry from the Alexandria database: a relaxed BaSiAgIr crystal (PBE).

ΔE_f (raw): -2.14 eV per formula unit
space-group type: P4/nmm

POSCAR file:
```
BaSiAgIr
1.0
4.103 0.000 0.000
0.000 4.103 0.000
0.000 0.000 11.835
Ba Si Ag Ir
2 2 2 2
direct
0.250 0.250 0.246
0.750 0.750 0.754
0.250 0.250 0.604
0.750 0.750 0.396
0.250 0.750 0.000
0.750 0.250 0.000
0.250 0.750 0.500
0.750 0.250 0.500
```

no.,M_tot (μB per atom)
1,1.72
2,0.00
3,0.00
4,0.89
5,0.00
6,0.00